Entry 1:
A relaxed structure of H3AuI, computed with PBE-GGA.

a b c (Å): 4.0563 4.0563 4.0563
angles (deg): 90.00 90.00 90.00
Closest atoms and distances in Å follow each position.
Element x y z (fractional)
H 0.0000 0.0000 0.5000  2 I 2.03
Au 0.5000 0.5000 0.5000  12 H 2.87
I 0.0000 0.0000 0.0000  6 H 2.03
H 0.0000 0.5000 0.0000  2 I 2.03
H 0.5000 0.0000 0.0000  2 I 2.03

## Properties
As for the space group: Pm-3m (221).

---

Entry 2:
A relaxed structure of HAu3I, computed with PBE-GGA.

a b c (Å): 4.4835 4.4835 4.4835
angles (deg): 90.00 90.00 90.00
Closest atoms and distances in Å follow each position.
Element x y z (fractional)
Au 0.0000 0.5000 0.0000  2 H 2.24
H 0.0000 0.0000 0.0000  6 Au 2.24
I 0.5000 0.5000 0.5000  12 Au 3.17
Au 0.0000 0.0000 0.5000  2 H 2.24
Au 0.5000 0.0000 0.0000  2 H 2.24

## Properties
As for the space group: Pm-3m (221).

---

Entry 3:
A relaxed structure of In2HAuI, computed with PBE-GGA.

a b c (Å): 5.7371 5.7371 3.7338
angles (deg): 90.00 90.00 90.00
Closest atoms and distances in Å follow each position.
Element x y z (fractional)
In 0.5000 0.0000 0.0000  2 Au 2.87
H 0.0000 0.0000 0.5000  2 Au 1.87
Au 0.0000 0.0000 0.0000  2 H 1.87
In 0.0000 0.5000 0.0000  2 Au 2.87
I 0.5000 0.5000 0.5000  8 In 3.42, 2 I 3.73

## Properties
As for the space group: P4/mmm (123).

---

Quick rundown of raw total energy, same order as above: -1.93, -2.39, -2.83 eV per atom